# 1
NaLiPd2: relaxed, PBE.

The calculation puts the density of states at the Fermi level at 6.35 states/eV/cell. For the calculated formation energy, the calculation gives -0.23 eV/atom. Its magnetization is 0.00 μB per formula unit. The theoretical density is 6.3 g cm⁻³. The volume is 15.891 A^3/atom. The value obtained for the offset from the most stable computed form is 0.00 eV per formula unit.

The space group is R-3m (No. 166, hexagonal axes) and the conventional cell measures 2.8546, 2.8546 and 27.0206 Å, with angles of 90.00, 90.00 and 120.00 degrees. The inequivalent atoms are Na at (0.0000, 0.0000, 0.0000), Li at (0.0000, 0.0000, 0.5000) and Pd at (0.0000, 0.0000, 0.2430).


# 2
NaLi2Pd2: relaxed, PBE.

The calculation puts the density of states at the Fermi level at 3.23 states/eV/cell. For the calculated formation energy, the calculation gives -0.09 eV/atom. Its magnetization is 0.00 μB per formula unit. The theoretical density is 4.4 g cm⁻³. The volume is 18.661 A^3/atom. The value obtained for the offset from the most stable computed form is 0.95 eV per formula unit.

The space group is I4/mmm (No. 139) and the conventional cell measures 4.563, 4.563 and 8.964 Å, with angles of 90.00, 90.00 and 90.00 degrees. The inequivalent atoms are Na at (0.000, 0.000, 0.000), Li at (0.000, 0.500, 0.250) and Pd at (0.000, 0.000, 0.355).


# 3
Na2LiPd2: relaxed, PBE.

The calculation puts the density of states at the Fermi level at 3.43 states/eV/cell. For the calculated formation energy, the calculation gives 0.17 eV/atom. Its magnetization is 0.00 μB per formula unit. The theoretical density is 4.2 g cm⁻³. The volume is 20.814 A^3/atom. The value obtained for the offset from the most stable computed form is 1.34 eV per formula unit.

The space group is I4/mmm (No. 139) and the conventional cell measures 3.909, 3.909 and 13.623 Å, with angles of 90.00, 90.00 and 90.00 degrees. The inequivalent atoms are Na at (0.000, 0.500, 0.250), Li at (0.000, 0.000, 0.000) and Pd at (0.000, 0.000, 0.404).


# 4
NaLi2Pd: relaxed, PBE.

The calculation puts the density of states at the Fermi level at 1.11 states/eV/cell. For the calculated formation energy, the calculation gives -0.21 eV/atom. Its magnetization is 0.00 μB per formula unit. The theoretical density is 3.1 g cm⁻³. The volume is 19.015 A^3/atom. The value obtained for the offset from the most stable computed form is 0.00 eV per formula unit.

The space group is P4/mmm (No. 123) and the conventional cell measures 3.159, 3.159 and 7.623 Å, with angles of 90.00, 90.00 and 90.00 degrees. The inequivalent atoms are Na at (0.000, 0.000, 0.000), Li at (0.500, 0.500, 0.321) and Pd at (0.000, 0.000, 0.500).


# 5
NaLiPd: relaxed, PBE.

The calculation puts the density of states at the Fermi level at 0.58 states/eV/cell. For the calculated formation energy, the calculation gives -0.17 eV/atom. Its magnetization is 0.00 μB per formula unit. The theoretical density is 4.3 g cm⁻³. The volume is 17.578 A^3/atom. The value obtained for the offset from the most stable computed form is 0.04 eV per formula unit.

The space group is P3m1 (No. 156) and the conventional cell measures 4.6159, 4.6159 and 2.8580 Å, with angles of 90.00, 90.00 and 120.00 degrees. The inequivalent atoms are Na at (0.0000, 0.0000, 0.0000), Li at (0.3333, 0.6667, 0.3218) and Pd at (0.6667, 0.3333, 0.5756).


# 6
NaLiPd3: relaxed, PBE.

The calculation puts the density of states at the Fermi level at 1.61 states/eV/cell. For the calculated formation energy, the calculation gives 0.75 eV/atom. Its magnetization is 0.00 μB per formula unit. The theoretical density is 5.4 g cm⁻³. The volume is 21.301 A^3/atom. The value obtained for the offset from the most stable computed form is 3.98 eV per formula unit.

The space group is Pm-3m (No. 221) and the conventional cell measures 4.740, 4.740 and 4.740 Å, with angles of 90.00, 90.00 and 90.00 degrees. The inequivalent atoms are Na at (0.000, 0.000, 0.000), Li at (0.500, 0.500, 0.500) and Pd at (0.000, 0.000, 0.500).


# 7
NaLi4Pd3: relaxed, PBE.

The calculation puts the density of states at the Fermi level at 1.86 states/eV/cell. For the calculated formation energy, the calculation gives -0.32 eV/atom. Its magnetization is 0.00 μB per formula unit. The theoretical density is 5.2 g cm⁻³. The volume is 14.883 A^3/atom.

The space group is P4/mmm (No. 123) and the conventional cell measures 4.392, 4.392 and 6.172 Å, with angles of 90.00, 90.00 and 90.00 degrees. The inequivalent atoms are Na at (0.000, 0.000, 0.000), Li at (0.000, 0.500, 0.276), Pd at (0.000, 0.000, 0.500), Pd at (0.500, 0.500, 0.000) and Pd at (0.500, 0.500, 0.500).


# 8
NaLiPd: relaxed, PBE.

The calculation puts the density of states at the Fermi level at 1.96 states/eV/cell. For the calculated formation energy, the calculation gives -0.18 eV/atom. Its magnetization is 0.00 μB per formula unit. The theoretical density is 4.1 g cm⁻³. The volume is 18.559 A^3/atom. The value obtained for the offset from the most stable computed form is 0.00 eV per formula unit.

The space group is I4mm (No. 107) and the conventional cell measures 3.189, 3.189 and 10.947 Å, with angles of 90.00, 90.00 and 90.00 degrees. The inequivalent atoms are Na at (0.000, 0.000, 0.000), Li at (0.000, 0.000, 0.714) and Pd at (0.000, 0.000, 0.320).